No. 1
Material: Cs2SbI
Method: DFT, meta-GGA SCAN
State: PBEsol geometry

Cell: 8.066 8.066 8.066 Å, 101.34 101.34 127.35°
Atoms (fractional coordinates):
Cs1 0.115 0.125 0.490
Cs2 0.375 0.885 0.010
Cs3 0.635 0.625 0.510
Cs4 0.875 0.365 0.990
Sb1 0.250 0.750 0.500
Sb2 0.500 0.500 0.000
I1 0.000 0.000 0.000
I2 0.750 0.250 0.500

## Properties
SG   I-42d
E   -37.964 eV/atom
Energy relative to the elements, uncorrected   -0.5578 eV/atom
D(E_F)   3.90 states/eV/f.u.



No. 2
Material: CsSnSb2I
Method: DFT, meta-GGA SCAN
State: PBEsol geometry

Cell: 5.976 5.976 6.431 Å, 90.00 90.00 90.00°
Atoms (fractional coordinates):
Cs1 0.000 0.000 0.000
Sn1 0.500 0.500 0.500
Sb1 0.000 0.500 0.000
Sb2 0.500 0.000 0.000
I1 0.000 0.000 0.500

## Properties
SG   P4/mmm
E   -35.804 eV/atom
Energy relative to the elements, uncorrected   1.1946 eV/atom
D(E_F)   3.47 states/eV/f.u.



No. 3
Material: Cs2TlSbI6
Method: DFT, meta-GGA SCAN
State: PBEsol geometry

Cell: 8.734 8.734 8.734 Å, 60.00 60.00 60.00°
Atoms (fractional coordinates):
Cs1 0.250 0.250 0.250
Cs2 0.750 0.750 0.750
Tl1 0.000 0.000 0.000
Sb1 0.500 0.500 0.500
I1 0.259 0.259 0.741
I2 0.259 0.741 0.259
I3 0.259 0.741 0.741
I4 0.741 0.259 0.259
I5 0.741 0.259 0.741
I6 0.741 0.741 0.259

## Properties
SG   Fm-3m
E   -41.534 eV/atom
Energy relative to the elements, uncorrected   -0.9650 eV/atom



No. 4
Material: CsZnSbI2
Method: DFT, meta-GGA SCAN
State: PBEsol geometry

Cell: 7.048 7.048 7.768 Å, 90.00 90.00 90.00°
Atoms (fractional coordinates):
Cs1 0.000 0.000 0.000
Zn1 0.500 0.500 0.500
Sb1 0.000 0.000 0.500
I1 0.000 0.500 0.000
I2 0.500 0.000 0.000

## Properties
Energy relative to the lowest polymorph listed for this composition   923 meV per atom
SG   P4/mmm
E   -31.936 eV/atom
Energy relative to the elements, uncorrected   0.4784 eV/atom
D(E_F)   7.66 states/eV/f.u.



No. 5
Material: CsZnSbI2
Method: DFT, meta-GGA SCAN
State: PBEsol geometry

Cell: 5.972 5.972 5.124 Å, 90.00 90.00 90.00°
Atoms (fractional coordinates):
Cs1 0.000 0.000 0.000
Zn1 0.500 0.500 0.500
Sb1 0.500 0.500 0.000
I1 0.000 0.500 0.500
I2 0.500 0.000 0.500

## Properties
Energy relative to the lowest polymorph listed for this composition   0 meV per atom
SG   P4/mmm
E   -32.858 eV/atom
Energy relative to the elements, uncorrected   -0.4442 eV/atom
D(E_F)   1.86 states/eV/f.u.



No. 6
Material: CsSc3I
Method: DFT, meta-GGA SCAN
State: PBEsol geometry

Cell: 5.310 5.310 5.310 Å, 90.00 90.00 90.00°
Atoms (fractional coordinates):
Cs1 0.000 0.000 0.000
Sc1 0.000 0.000 0.500
Sc2 0.000 0.500 0.000
Sc3 0.500 0.000 0.000
I1 0.500 0.500 0.500

## Properties
SG   Pm-3m
E   -21.941 eV/atom
Energy relative to the elements, uncorrected   1.5121 eV/atom
D(E_F)   5.43 states/eV/f.u.



No. 7
Material: CsSe3I
Method: DFT, meta-GGA SCAN
State: PBEsol geometry

Cell: 5.487 5.487 5.487 Å, 90.00 90.00 90.00°
Atoms (fractional coordinates):
Cs1 0.000 0.000 0.000
Se1 0.000 0.500 0.500
Se2 0.500 0.000 0.500
Se3 0.500 0.500 0.000
I1 0.500 0.500 0.500

## Properties
SG   Pm-3m
E   -27.011 eV/atom
Energy relative to the elements, uncorrected   -0.0531 eV/atom
D(E_F)   3.16 states/eV/f.u.



No. 8
Material: CsSiTeI2
Method: DFT, meta-GGA SCAN
State: PBEsol geometry

Cell: 5.749 5.749 5.364 Å, 90.00 90.00 90.00°
Atoms (fractional coordinates):
Cs1 0.000 0.000 0.000
Si1 0.500 0.500 0.500
Te1 0.500 0.500 0.000
I1 0.000 0.500 0.500
I2 0.500 0.000 0.500

## Properties
SG   P4/mmm
E   -32.189 eV/atom
Energy relative to the elements, uncorrected   -0.4769 eV/atom
D(E_F)   3.59 states/eV/f.u.



No. 9
Material: CsSnI3
Method: DFT, meta-GGA SCAN
State: PBEsol geometry

Cell: 10.361 4.669 17.540 Å, 90.00 90.00 90.00°
Atoms (fractional coordinates):
Cs1 0.082 0.250 0.171
Cs2 0.418 0.750 0.671
Cs3 0.582 0.250 0.329
Cs4 0.918 0.750 0.829
Sn1 0.158 0.750 0.440
Sn2 0.342 0.250 0.940
Sn3 0.658 0.750 0.060
Sn4 0.842 0.250 0.560
I1 0.032 0.750 0.615
I2 0.162 0.750 0.000
I3 0.204 0.250 0.789
I4 0.296 0.750 0.289
I5 0.338 0.250 0.500
I6 0.468 0.250 0.115
I7 0.532 0.750 0.885
I8 0.662 0.750 0.500
I9 0.704 0.250 0.711
I10 0.796 0.750 0.211
I11 0.838 0.250 0.000
I12 0.968 0.250 0.385

## Properties
SG   Pnma
E   -37.783 eV/atom
Energy relative to the elements, uncorrected   -0.9914 eV/atom
D(E_F)   0.00 states/eV/f.u.



No. 10
Material: CsSnI3
Method: DFT, meta-GGA SCAN
State: PBEsol geometry

Cell: 8.530 8.530 6.201 Å, 90.00 90.00 90.00°
Atoms (fractional coordinates):
Cs1 0.000 0.500 0.000
Cs2 0.500 0.000 0.000
Sn1 0.000 0.000 0.500
Sn2 0.500 0.500 0.500
I1 0.000 0.000 0.000
I2 0.196 0.304 0.500
I3 0.304 0.804 0.500
I4 0.500 0.500 0.000
I5 0.696 0.196 0.500
I6 0.804 0.696 0.500

## Properties
SG   P4/mbm
E   -37.774 eV/atom
Energy relative to the elements, uncorrected   -0.9826 eV/atom



No. 11
Material: Cs3SnI
Method: DFT, meta-GGA SCAN
State: PBEsol geometry

Cell: 7.050 7.050 7.050 Å, 90.00 90.00 90.00°
Atoms (fractional coordinates):
Cs1 0.000 0.000 0.500
Cs2 0.000 0.500 0.000
Cs3 0.500 0.000 0.000
Sn1 0.500 0.500 0.500
I1 0.000 0.000 0.000

## Properties
SG   Pm-3m
E   -37.705 eV/atom
Energy relative to the elements, uncorrected   -0.4866 eV/atom
D(E_F)   3.09 states/eV/f.u.



No. 12
Material: CsSrTeI2
Method: DFT, meta-GGA SCAN
State: PBEsol geometry

Cell: 6.591 6.591 6.125 Å, 90.00 90.00 90.00°
Atoms (fractional coordinates):
Cs1 0.000 0.000 0.000
Sr1 0.500 0.500 0.500
Te1 0.000 0.000 0.500
I1 0.000 0.500 0.000
I2 0.500 0.000 0.000

## Properties
SG   P4/mmm
E   -34.712 eV/atom
Energy relative to the elements, uncorrected   -0.5478 eV/atom
D(E_F)   1.08 states/eV/f.u.



No. 13
Material: Cs2TcI6
Method: DFT, meta-GGA SCAN
State: PBEsol geometry

Cell: 7.988 7.988 7.988 Å, 60.00 60.00 60.00°
Atoms (fractional coordinates):
Cs1 0.250 0.250 0.250
Cs2 0.750 0.750 0.750
Tc1 0.000 0.000 0.000
I1 0.240 0.240 0.760
I2 0.240 0.760 0.240
I3 0.240 0.760 0.760
I4 0.760 0.240 0.240
I5 0.760 0.240 0.760
I6 0.760 0.760 0.240

## Properties
SG   Fm-3m
E   -37.712 eV/atom
Energy relative to the elements, uncorrected   -0.9202 eV/atom



No. 14
Material: CsW3I
Method: DFT, meta-GGA SCAN
State: PBEsol geometry

Cell: 4.958 4.958 4.958 Å, 90.00 90.00 90.00°
Atoms (fractional coordinates):
Cs1 0.000 0.000 0.000
W1 0.000 0.000 0.500
W2 0.000 0.500 0.000
W3 0.500 0.000 0.000
I1 0.500 0.500 0.500

## Properties
SG   Pm-3m
E   -52.192 eV/atom
Energy relative to the elements, uncorrected   4.5313 eV/atom
D(E_F)   7.20 states/eV/f.u.



No. 15
Material: CsInIr3
Method: DFT, meta-GGA SCAN
State: PBEsol geometry

Cell: 4.948 4.948 4.948 Å, 90.00 90.00 90.00°
Atoms (fractional coordinates):
Cs1 0.000 0.000 0.000
In1 0.500 0.500 0.500
Ir1 0.000 0.000 0.500
Ir2 0.000 0.500 0.000
Ir3 0.500 0.000 0.000

## Properties
Formation enthalpy at 0 K   3117 meV per atom
SG   Pm-3m
E   -53.781 eV/atom
D(E_F)   5.05 states/eV/f.u.



No. 16
Material: CsIn3Ir
Method: DFT, meta-GGA SCAN
State: PBEsol geometry

Cell: 5.207 5.207 5.207 Å, 90.00 90.00 90.00°
Atoms (fractional coordinates):
Cs1 0.000 0.000 0.000
In1 0.000 0.500 0.500
In2 0.500 0.000 0.500
In3 0.500 0.500 0.000
Ir1 0.500 0.500 0.500

## Properties
Formation enthalpy at 0 K   -260 meV per atom
SG   Pm-3m
E   -42.074 eV/atom
D(E_F)   3.26 states/eV/f.u.



No. 17
Material: CsLi3In
Method: DFT, meta-GGA SCAN
State: PBEsol geometry

Cell: 5.511 5.511 5.511 Å, 90.00 90.00 90.00°
Atoms (fractional coordinates):
Cs1 0.000 0.000 0.000
Li1 0.000 0.500 0.500
Li2 0.500 0.000 0.500
Li3 0.500 0.500 0.000
In1 0.500 0.500 0.500

## Properties
Formation enthalpy at 0 K   -60 meV per atom
SG   Pm-3m
E   -15.733 eV/atom
D(E_F)   2.13 states/eV/f.u.



No. 18
Material: Cs2LiTaIn
Method: DFT, meta-GGA SCAN
State: PBEsol geometry

Cell: 5.987 5.987 5.400 Å, 90.00 90.00 90.00°
Atoms (fractional coordinates):
Cs1 0.000 0.500 0.000
Cs2 0.500 0.000 0.000
Li1 0.000 0.000 0.000
Ta1 0.500 0.500 0.500
In1 0.000 0.000 0.500

## Properties
Formation enthalpy at 0 K   1375 meV per atom
SG   P4/mmm
E   -34.222 eV/atom
D(E_F)   6.05 states/eV/f.u.



No. 19
Material: CsMnIn2Pb
Method: DFT, meta-GGA SCAN
State: PBEsol geometry

Cell: 5.164 5.164 5.103 Å, 90.00 90.00 90.00°
Atoms (fractional coordinates):
Cs1 0.000 0.000 0.000
Mn1 0.500 0.500 0.500
In1 0.000 0.500 0.500
In2 0.500 0.000 0.500
Pb1 0.500 0.500 0.000

## Properties
Formation enthalpy at 0 K   71 meV per atom
SG   P4/mmm
E   -39.653 eV/atom
D(E_F)   0.89 states/eV/f.u.



No. 20
Material: Cs3InMo
Method: DFT, meta-GGA SCAN
State: PBEsol geometry

Cell: 6.959 6.959 6.959 Å, 90.00 90.00 90.00°
Atoms (fractional coordinates):
Cs1 0.000 0.000 0.500
Cs2 0.000 0.500 0.000
Cs3 0.500 0.000 0.000
In1 0.500 0.500 0.500
Mo1 0.000 0.000 0.000

## Properties
Formation enthalpy at 0 K   1165 meV per atom
SG   Pm-3m
E   -35.176 eV/atom
D(E_F)   7.58 states/eV/f.u.



No. 21
Material: CsIn2ReMo
Method: DFT, meta-GGA SCAN
State: PBEsol geometry

Cell: 5.841 5.841 5.043 Å, 90.00 90.00 90.00°
Atoms (fractional coordinates):
Cs1 0.000 0.000 0.000
In1 0.000 0.500 0.000
In2 0.500 0.000 0.000
Re1 0.500 0.500 0.500
Mo1 0.000 0.000 0.500

## Properties
Formation enthalpy at 0 K   3225 meV per atom
SG   P4/mmm
E   -38.889 eV/atom
D(E_F)   3.14 states/eV/f.u.



No. 22
Material: Cs2Na3InO4
Method: DFT, meta-GGA SCAN
State: PBEsol geometry

Cell: 6.357 10.082 12.429 Å, 90.00 111.11 90.00°
Atoms (fractional coordinates):
Cs1 0.209 0.221 0.106
Cs2 0.209 0.279 0.606
Cs3 0.234 0.000 0.864
Cs4 0.234 0.500 0.364
Cs5 0.766 0.000 0.136
Cs6 0.766 0.500 0.636
Cs7 0.791 0.721 0.394
Cs8 0.791 0.779 0.894
Na1 0.107 0.749 0.200
Na2 0.107 0.751 0.700
Na3 0.139 0.011 0.431
Na4 0.139 0.489 0.931
Na5 0.415 0.529 0.796
Na6 0.415 0.971 0.296
Na7 0.585 0.029 0.704
Na8 0.585 0.471 0.204
Na9 0.861 0.511 0.069
Na10 0.861 0.989 0.569
Na11 0.893 0.249 0.300
Na12 0.893 0.251 0.800
In1 0.399 0.718 0.065
In2 0.399 0.782 0.565
In3 0.601 0.218 0.435
In4 0.601 0.282 0.935
O1 0.236 0.567 0.123
O2 0.236 0.933 0.623
O3 0.260 0.183 0.349
O4 0.260 0.317 0.849
O5 0.283 0.693 0.887
O6 0.283 0.807 0.387
O7 0.286 0.601 0.607
O8 0.286 0.899 0.107
O9 0.714 0.101 0.893
O10 0.714 0.399 0.393
O11 0.717 0.193 0.613
O12 0.717 0.307 0.113
O13 0.740 0.683 0.151
O14 0.740 0.817 0.651
O15 0.764 0.067 0.377
O16 0.764 0.433 0.877

## Properties
SG   P2_1/c
E   -16.198 eV/atom
Energy relative to the elements, uncorrected   -1.5408 eV/atom
D(E_F)   0.00 states/eV/f.u.



No. 23
Material: Cs3InO
Method: DFT, meta-GGA SCAN
State: PBEsol geometry

Cell: 7.061 7.061 7.061 Å, 90.00 90.00 90.00°
Atoms (fractional coordinates):
Cs1 0.000 0.000 0.500
Cs2 0.000 0.500 0.000
Cs3 0.500 0.000 0.000
In1 0.000 0.000 0.000
O1 0.500 0.500 0.500

## Properties
SG   Pm-3m
E   -30.271 eV/atom
Energy relative to the elements, uncorrected   0.3387 eV/atom
D(E_F)   12.15 states/eV/f.u.



No. 24
Material: Cs3InO3
Method: DFT, meta-GGA SCAN
State: PBEsol geometry

Cell: 8.083 7.283 11.727 Å, 90.00 95.28 90.00°
Atoms (fractional coordinates):
Cs1 0.049 0.126 0.157
Cs2 0.049 0.374 0.657
Cs3 0.350 0.166 0.927
Cs4 0.350 0.334 0.427
Cs5 0.375 0.678 0.808
Cs6 0.375 0.822 0.308
Cs7 0.625 0.178 0.692
Cs8 0.625 0.322 0.192
Cs9 0.650 0.666 0.573
Cs10 0.650 0.834 0.073
Cs11 0.951 0.626 0.343
Cs12 0.951 0.874 0.843
In1 0.156 0.587 0.068
In2 0.156 0.913 0.568
In3 0.844 0.087 0.432
In4 0.844 0.413 0.932
O1 0.103 0.052 0.408
O2 0.103 0.448 0.908
O3 0.247 0.656 0.541
O4 0.247 0.844 0.041
O5 0.290 0.053 0.697
O6 0.290 0.447 0.197
O7 0.710 0.553 0.803
O8 0.710 0.947 0.303
O9 0.753 0.156 0.959
O10 0.753 0.344 0.459
O11 0.897 0.552 0.092
O12 0.897 0.948 0.592

## Properties
SG   P2_1/c
E   -25.174 eV/atom
Energy relative to the elements, uncorrected   -1.5299 eV/atom
D(E_F)   0.00 states/eV/f.u.